Record 1
Below is crystalline RbNiF2 at its relaxed geometry, with properties calculated at the GGA+U level.

Unit cell a=4.029 b=4.029 c=20.384 alpha=90.00 beta=90.00 gamma=120.00
Positions (direct):
Rb (0.000, 0.000, 0.000)
Rb (0.333, 0.667, 0.667)
Rb (0.667, 0.333, 0.333)
Ni (0.000, 0.000, 0.500)
Ni (0.333, 0.667, 0.167)
Ni (0.667, 0.333, 0.833)
F (0.000, 0.000, 0.408)
F (0.000, 0.000, 0.592)
F (0.333, 0.667, 0.075)
F (0.333, 0.667, 0.259)
F (0.667, 0.333, 0.741)
F (0.667, 0.333, 0.925)

**Symmetry**: R-3m (166)
**Energy relative to the lowest polymorph listed for this composition**: 0.0 kJ per mole of atoms
**Energy**: -42.87 eV for the cell shown
**D(E_F)**: 0.00 states/eV/cell

Record 2
Below is crystalline RbNi2F at its relaxed geometry, with properties calculated at the GGA+U level.

Unit cell a=7.533 b=7.533 c=7.533 alpha=90.00 beta=90.00 gamma=90.00
Positions (direct):
Rb (0.000, 0.000, 0.000)
Rb (0.000, 0.500, 0.500)
Rb (0.500, 0.000, 0.500)
Rb (0.500, 0.500, 0.000)
Ni (0.250, 0.250, 0.250)
Ni (0.250, 0.250, 0.750)
Ni (0.250, 0.750, 0.250)
Ni (0.250, 0.750, 0.750)
Ni (0.750, 0.250, 0.250)
Ni (0.750, 0.250, 0.750)
Ni (0.750, 0.750, 0.250)
Ni (0.750, 0.750, 0.750)
F (0.000, 0.000, 0.500)
F (0.000, 0.500, 0.000)
F (0.500, 0.000, 0.000)
F (0.500, 0.500, 0.500)

**Symmetry**: Fm-3m (225)
**Energy relative to the lowest polymorph listed for this composition**: 83.4 kJ per mole of atoms
**Energy**: -18.18 eV for the cell shown
**D(E_F)**: 21.67 states/eV/cell

Record 3
Below is crystalline RbNiF at its relaxed geometry, with properties calculated at the GGA+U level.

Unit cell a=3.614 b=13.147 c=6.269 alpha=90.00 beta=90.00 gamma=90.00
Positions (direct):
Rb (0.000, 0.113, 0.250)
Rb (0.000, 0.887, 0.750)
Rb (0.500, 0.387, 0.750)
Rb (0.500, 0.613, 0.250)
Ni (0.000, 0.387, 0.250)
Ni (0.000, 0.613, 0.750)
Ni (0.500, 0.113, 0.750)
Ni (0.500, 0.887, 0.250)
F (0.000, 0.500, 0.000)
F (0.000, 0.500, 0.500)
F (0.500, 0.000, 0.000)
F (0.500, 0.000, 0.500)

**Symmetry**: Cmcm (63)
**Energy relative to the lowest polymorph listed for this composition**: 36.8 kJ per mole of atoms
**Energy**: -31.37 eV for the cell shown
**D(E_F)**: 4.18 states/eV/cell

Record 4
Below is crystalline RbNiF at its relaxed geometry, with properties calculated at the GGA+U level.

Unit cell a=3.966 b=8.041 c=10.940 alpha=90.00 beta=90.00 gamma=90.00
Positions (direct):
Rb (0.000, 0.000, 0.000)
Rb (0.000, 0.500, 0.000)
Rb (0.500, 0.000, 0.500)
Rb (0.500, 0.500, 0.500)
Ni (0.000, 0.250, 0.312)
Ni (0.000, 0.750, 0.688)
Ni (0.500, 0.250, 0.188)
Ni (0.500, 0.750, 0.812)
F (0.000, 0.250, 0.498)
F (0.000, 0.750, 0.502)
F (0.500, 0.250, 0.002)
F (0.500, 0.750, 0.998)

**Symmetry**: Imma (74)
**Energy relative to the lowest polymorph listed for this composition**: 8.4 kJ per mole of atoms
**Energy**: -34.90 eV for the cell shown
**D(E_F)**: 0.46 states/eV/cell